Entry 1:
A plane-wave DFT calculation with PBE was carried out for a relaxed Mg2VGaN4 crystal.

Summary:
**Formation energy (no corrections)**: -0.809 eV per atom
**DFT total energy**: -6.888 eV per atom
**SG**: Pmn2_1
**Total magnetization**: 0.00 μB/cell

Cell and atoms, written as POSCAR:
```
Mg2VGaN4
1.0
5.209 0.000 0.000
0.000 5.759 0.000
0.000 0.000 6.489
V N Mg Ga
2 8 4 2
Cartesian
5.205 0.949 0.000 V
2.601 4.810 3.244 V
1.951 0.742 3.244 N
1.796 0.865 0.000 N
4.687 1.828 1.553 N
4.687 1.828 4.935 N
4.556 5.018 0.000 N
2.083 3.931 4.797 N
4.400 4.894 3.244 N
2.083 3.931 1.691 N
5.169 3.868 4.869 Mg
2.564 1.891 1.625 Mg
2.564 1.891 4.864 Mg
5.169 3.868 1.619 Mg
5.194 0.919 3.244 Ga
2.589 4.840 0.000 Ga
```

Entry 2:
A plane-wave DFT calculation with PBE was carried out for a relaxed MgZr2GaN crystal.

Summary:
**Formation energy (no corrections)**: -0.747 eV per atom
**DFT total energy**: -6.755 eV per atom
**SG**: P4/mmm
**Total magnetization**: 0.00 μB/cell

Cell and atoms, written as POSCAR:
```
MgZr2GaN
1.0
4.482 0.000 0.000
0.000 4.482 0.000
0.000 0.000 4.201
N Zr Ga Mg
1 2 1 1
Cartesian
0.000 0.000 0.000 N
2.241 0.000 0.000 Zr
0.000 2.241 0.000 Zr
2.241 2.241 2.101 Ga
0.000 0.000 2.101 Mg
```

Entry 3:
A plane-wave DFT calculation with PBE was carried out for a relaxed NaMg2Ga crystal.

Summary:
**DFT total energy**: -1.873 eV per atom
**SG**: R3m
**E_form**: 0.011 eV/atom
**Total magnetization**: 0.00 μB/cell

Cell and atoms, written as POSCAR:
```
NaMg2Ga
1.0
-4.551 1.028 0.667
-2.981 -3.345 1.463
-1.476 0.522 5.778
Mg Na Ga
2 1 1
Cartesian
-1.601 0.365 5.163 Mg
-2.355 -0.578 1.473 Mg
-4.477 -0.863 4.088 Na
-6.555 -1.095 6.916 Ga
```

Entry 4:
A plane-wave DFT calculation with PBE was carried out for a relaxed NaMg3Ga2 crystal.

Summary:
**DFT total energy**: -2.103 eV per atom
**SG**: Immm
**E_form**: -0.077 eV/atom
**Total magnetization**: 0.00 μB/cell

Cell and atoms, written as POSCAR:
```
NaMg3Ga2
1.0
4.542 0.000 0.000
-2.271 8.138 -0.518
0.000 -4.084 7.593
Mg Ga Na
6 4 2
Cartesian
2.271 0.870 3.431 Mg
0.000 3.184 3.644 Mg
2.271 -0.743 6.428 Mg
0.000 4.797 0.647 Mg
2.271 5.404 4.563 Mg
0.000 -1.350 2.512 Mg
2.271 3.705 1.991 Ga
2.271 -0.588 1.095 Ga
0.000 4.642 5.980 Ga
0.000 0.349 5.083 Ga
2.271 2.497 6.238 Na
0.000 1.557 0.836 Na
```

Entry 5:
A plane-wave DFT calculation with PBE was carried out for a relaxed NaMg14Ga crystal.

Summary:
**DFT total energy**: -1.655 eV per atom
**SG**: P-6m2
**E_form**: 0.012 eV/atom
**Total magnetization**: 0.00 μB/cell

Cell and atoms, written as POSCAR:
```
NaMg14Ga
1.0
-6.300 -0.296 1.002
3.631 -5.165 0.956
1.430 2.826 9.831
Mg Na Ga
14 1 1
Cartesian
-3.742 -1.448 6.386 Mg
-1.912 0.211 8.394 Mg
1.797 -2.595 0.484 Mg
-1.314 -2.741 0.979 Mg
-0.807 -3.772 4.013 Mg
-2.637 -1.222 3.410 Mg
3.040 -2.262 8.247 Mg
1.220 0.327 7.768 Mg
0.479 -5.291 1.451 Mg
-0.649 -1.303 5.894 Mg
2.351 -3.623 3.511 Mg
0.531 -1.034 3.032 Mg
-2.432 1.233 5.425 Mg
-0.118 -2.410 8.749 Mg
0.000 0.000 0.000 Na
0.715 1.413 4.915 Ga
```

Entry 6:
A plane-wave DFT calculation with PBE was carried out for a relaxed Na2Mg5Ga4 crystal.

Summary:
**DFT total energy**: -2.071 eV per atom
**SG**: C2/m
**E_form**: -0.005 eV/atom
**Total magnetization**: 0.00 μB/cell

Cell and atoms, written as POSCAR:
```
Na2Mg5Ga4
1.0
6.201 0.000 0.000
3.101 6.029 0.885
3.101 2.453 7.571
Mg Na Ga
5 2 4
Cartesian
7.769 4.462 1.028 Mg
4.633 4.020 7.429 Mg
7.769 4.020 7.429 Mg
3.101 4.241 4.228 Mg
4.633 4.462 1.028 Mg
6.201 1.778 2.832 Na
6.201 6.704 5.625 Na
6.201 5.964 2.685 Ga
6.201 2.517 5.772 Ga
3.101 2.447 2.167 Ga
9.302 6.035 6.289 Ga
```

Entry 7:
A plane-wave DFT calculation with PBE was carried out for a relaxed NaMg2Ga2 crystal.

Summary:
**DFT total energy**: -2.171 eV per atom
**SG**: I4/mmm
**E_form**: -0.058 eV/atom
**Total magnetization**: 0.00 μB/cell

Cell and atoms, written as POSCAR:
```
NaMg2Ga2
1.0
-1.439 -4.054 -0.788
-0.187 -0.770 4.301
-6.588 -0.384 1.868
Mg Na Ga
2 1 2
Cartesian
-3.794 -1.783 3.963 Mg
-4.420 -3.425 1.418 Mg
0.000 0.000 0.000 Na
-1.991 -1.998 1.779 Ga
-6.224 -3.209 3.602 Ga
```

Entry 8:
A plane-wave DFT calculation with PBE was carried out for a relaxed NaMg14Ga crystal.

Summary:
**DFT total energy**: -1.662 eV per atom
**SG**: Amm2
**E_form**: 0.005 eV/atom
**Total magnetization**: 0.00 μB/cell

Cell and atoms, written as POSCAR:
```
NaMg14Ga
1.0
3.184 -5.499 0.000
3.184 5.499 0.000
0.000 0.000 10.417
Mg Ga Na
14 1 1
Cartesian
4.750 -0.915 5.208 Mg
3.184 1.840 0.000 Mg
4.760 0.919 2.611 Mg
3.184 3.655 7.733 Mg
1.608 0.919 2.611 Mg
4.790 -0.914 0.000 Mg
4.760 0.919 7.806 Mg
3.184 -1.816 7.873 Mg
3.184 -1.816 2.543 Mg
1.608 0.919 7.806 Mg
3.184 -3.672 0.000 Mg
3.184 3.655 2.684 Mg
1.578 -0.914 0.000 Mg
1.618 -0.915 5.208 Mg
3.184 1.793 5.208 Ga
3.184 -3.659 5.208 Na
```

Entry 9:
A plane-wave DFT calculation with PBE was carried out for a relaxed NaMg2Ga crystal.

Summary:
**DFT total energy**: -1.696 eV per atom
**SG**: I-42d
**E_form**: 0.188 eV/atom
**Total magnetization**: 0.00 μB/cell

Cell and atoms, written as POSCAR:
```
NaMg2Ga
1.0
4.382 0.000 0.000
0.000 4.382 0.000
2.191 2.191 10.527
Na Mg Ga
2 4 2
Cartesian
2.191 4.382 5.264 Na
2.191 2.191 0.000 Na
3.287 3.207 7.896 Mg
5.478 5.558 7.896 Mg
1.016 3.287 2.632 Mg
3.367 1.096 2.632 Mg
0.000 0.000 0.000 Ga
4.382 2.191 5.264 Ga
```

Entry 10:
A plane-wave DFT calculation with PBE was carried out for a relaxed NaMgGa3 crystal.

Summary:
**DFT total energy**: -2.109 eV per atom
**SG**: Pm-3m
**E_form**: 0.290 eV/atom
**Total magnetization**: 0.00 μB/cell

Cell and atoms, written as POSCAR:
```
NaMgGa3
1.0
-4.273 1.122 -2.703
-1.892 -4.709 1.037
-2.233 1.843 4.295
Ga Na Mg
3 1 1
Cartesian
-2.137 0.561 -1.352 Ga
-1.116 0.921 2.148 Ga
-0.946 -2.354 0.518 Ga
-4.199 -0.872 1.314 Na
0.000 0.000 0.000 Mg
```

Entry 11:
A plane-wave DFT calculation with PBE was carried out for a relaxed NaMg4Ga crystal.

Summary:
**DFT total energy**: -1.667 eV per atom
**SG**: F-43m
**E_form**: 0.120 eV/atom
**Total magnetization**: 0.00 μB/cell

Cell and atoms, written as POSCAR:
```
NaMg4Ga
1.0
-1.732 5.368 1.860
-4.237 2.939 -2.946
-5.368 0.708 2.441
Ga Na Mg
1 1 4
Cartesian
0.000 0.000 0.000 Ga
-2.834 2.254 0.339 Na
-4.397 5.283 -0.378 Mg
-7.091 5.639 0.847 Mg
-6.222 2.945 -0.086 Mg
-4.964 4.164 2.326 Mg
```

Entry 12:
A plane-wave DFT calculation with PBE was carried out for a relaxed NaMg2Ga2 crystal.

Summary:
**DFT total energy**: -2.210 eV per atom
**SG**: P4/mbm
**E_form**: -0.097 eV/atom
**Total magnetization**: 0.00 μB/cell

Cell and atoms, written as POSCAR:
```
NaMg2Ga2
1.0
8.086 0.000 0.000
0.000 8.086 0.000
0.000 0.000 3.297
Mg Ga Na
4 4 2
Cartesian
5.431 6.698 1.648 Mg
2.655 1.388 1.648 Mg
6.698 2.655 1.648 Mg
1.388 5.431 1.648 Mg
5.041 0.998 0.000 Ga
7.087 5.041 0.000 Ga
3.045 7.087 0.000 Ga
0.998 3.045 0.000 Ga
0.000 0.000 0.000 Na
4.043 4.043 0.000 Na
```

Entry 13:
A plane-wave DFT calculation with PBE was carried out for a relaxed NaMg9Ga3 crystal.

Summary:
**DFT total energy**: -1.962 eV per atom
**SG**: C2/m
**E_form**: -0.058 eV/atom
**Total magnetization**: 0.00 μB/cell

Cell and atoms, written as POSCAR:
```
NaMg9Ga3
1.0
-0.762 -4.098 3.925
3.779 -6.176 -1.964
5.364 0.324 5.555
Mg Ga Na
9 3 1
Cartesian
1.761 -2.452 1.937 Mg
1.890 -3.088 -0.982 Mg
6.620 -7.499 5.579 Mg
2.706 -4.728 3.883 Mg
3.624 -7.962 4.552 Mg
4.615 -3.165 5.923 Mg
4.757 -1.989 2.965 Mg
3.766 -6.786 1.593 Mg
5.675 -5.223 3.633 Mg
2.682 0.162 2.778 Ga
2.301 -1.887 4.740 Ga
1.509 -5.137 0.981 Ga
0.000 0.000 0.000 Na
```

Entry 14:
A plane-wave DFT calculation with PBE was carried out for a relaxed NaMg2Ga crystal.

Summary:
**DFT total energy**: -1.871 eV per atom
**SG**: P4/mmm
**E_form**: 0.013 eV/atom
**Total magnetization**: 0.00 μB/cell

Cell and atoms, written as POSCAR:
```
NaMg2Ga
1.0
-1.203 -2.005 3.602
-1.271 -3.635 -2.449
4.192 -1.752 0.424
Mg Ga Na
2 1 1
Cartesian
-0.636 -1.818 -1.224 Mg
2.096 -0.876 0.212 Mg
-0.601 -1.003 1.801 Ga
0.859 -3.696 0.789 Na
```

Entry 15:
A plane-wave DFT calculation with PBE was carried out for a relaxed Na2MgGa2 crystal.

Summary:
**DFT total energy**: -1.967 eV per atom
**SG**: I4/mmm
**E_form**: 0.090 eV/atom
**Total magnetization**: 0.00 μB/cell

Cell and atoms, written as POSCAR:
```
Na2MgGa2
1.0
-1.599 -2.645 -2.038
3.234 -0.665 -1.674
3.092 -8.510 5.258
Ga Na Mg
2 2 1
Cartesian
3.572 -5.415 0.864 Ga
1.155 -6.405 0.682 Ga
3.380 -8.568 1.744 Na
1.348 -3.252 -0.199 Na
0.000 0.000 0.000 Mg
```

Entry 16:
A plane-wave DFT calculation with PBE was carried out for a relaxed Na3Mg2Ga4 crystal.

Summary:
**DFT total energy**: -2.227 eV per atom
**SG**: P-1
**E_form**: -0.087 eV/atom
**Total magnetization**: 0.00 μB/cell

Cell and atoms, written as POSCAR:
```
Na3Mg2Ga4
1.0
-2.865 -3.216 -2.125
3.050 -3.310 -4.440
3.454 -7.634 1.625
Ga Na Mg
4 3 2
Cartesian
1.410 -9.406 -3.814 Ga
2.922 -11.415 -2.756 Ga
0.716 -2.744 -2.184 Ga
2.228 -4.753 -1.126 Ga
1.993 -6.273 -3.928 Na
1.645 -7.886 -1.012 Na
0.000 0.000 0.000 Na
4.090 -8.681 -3.075 Mg
-0.452 -5.478 -1.865 Mg
```

Entry 17:
A plane-wave DFT calculation with PBE was carried out for a relaxed Na16MgGa12 crystal.

Summary:
**DFT total energy**: -2.102 eV per atom
**SG**: Cm
**E_form**: -0.067 eV/atom
**Total magnetization**: 0.00 μB/cell

Cell and atoms, written as POSCAR:
```
Na16MgGa12
1.0
-5.411 -3.943 -7.015
7.347 5.033 -3.838
3.439 -6.871 5.606
Ga Na Mg
12 16 1
Cartesian
7.926 -2.217 0.199 Ga
-2.256 -3.373 -7.367 Ga
2.471 -4.339 -4.642 Ga
-0.498 -0.566 -3.250 Ga
1.693 0.975 -2.705 Ga
2.165 -0.315 -7.804 Ga
4.024 -4.864 -2.416 Ga
-2.925 -5.523 -5.663 Ga
4.703 -2.768 -4.086 Ga
-0.315 -8.016 -1.853 Ga
7.634 1.907 -3.033 Ga
6.046 2.469 -5.300 Ga
2.241 -4.459 3.601 Na
-0.730 -0.692 -6.398 Na
1.037 -3.281 -7.357 Na
1.922 -2.095 -1.798 Na
0.855 -4.996 -1.917 Na
5.346 -2.722 2.301 Na
4.885 -2.160 -0.913 Na
4.679 0.275 -3.199 Na
2.837 -7.469 -3.894 Na
5.024 -0.476 -6.365 Na
7.188 -4.407 -2.810 Na
3.113 -4.642 0.615 Na
-0.556 -3.408 -4.502 Na
0.203 -6.341 1.021 Na
2.880 1.847 -5.499 Na
5.365 -5.764 -5.256 Na
2.158 -1.345 -4.867 Mg
```

Entry 18:
A plane-wave DFT calculation with PBE was carried out for a relaxed NaMg10Ga3 crystal.

Summary:
**DFT total energy**: -1.898 eV per atom
**SG**: Fm-3m
**E_form**: -0.017 eV/atom
**Total magnetization**: 0.00 μB/cell

Cell and atoms, written as POSCAR:
```
NaMg10Ga3
1.0
8.510 0.000 4.914
2.837 8.024 4.914
0.000 0.000 9.827
Mg Ga Na
20 6 2
Cartesian
6.989 4.942 7.548 Mg
5.674 1.221 9.827 Mg
5.609 0.000 3.239 Mg
1.870 5.289 3.239 Mg
5.674 6.803 9.827 Mg
4.358 3.082 7.548 Mg
0.967 2.735 8.152 Mg
1.870 5.289 6.588 Mg
2.901 0.000 1.675 Mg
4.358 3.082 12.106 Mg
0.000 0.000 6.477 Mg
6.989 4.942 12.106 Mg
4.771 5.289 4.914 Mg
6.576 2.735 4.914 Mg
5.609 0.000 6.588 Mg
0.000 0.000 3.350 Mg
2.901 0.000 8.152 Mg
0.967 2.735 1.675 Mg
3.042 4.942 9.827 Mg
8.305 3.082 9.827 Mg
4.351 5.882 12.117 Ga
8.318 5.882 9.827 Ga
6.996 2.142 12.117 Ga
4.351 5.882 7.537 Ga
6.996 2.142 7.537 Ga
3.029 2.142 9.827 Ga
8.510 6.018 14.741 Na
2.837 2.006 4.914 Na
```

Entry 19:
A plane-wave DFT calculation with PBE was carried out for a relaxed Na5MgGa4 crystal.

Summary:
**DFT total energy**: -2.061 eV per atom
**SG**: C2/m
**E_form**: -0.031 eV/atom
**Total magnetization**: 0.00 μB/cell

Cell and atoms, written as POSCAR:
```
Na5MgGa4
1.0
4.047 0.000 -0.844
-0.867 7.076 -4.155
0.051 -1.156 10.362
Ga Na Mg
4 5 1
Cartesian
3.807 0.225 8.126 Ga
1.509 -0.721 7.231 Ga
1.722 6.642 -1.868 Ga
-0.577 5.696 -2.764 Ga
0.075 5.033 0.359 Na
1.590 3.538 -2.500 Na
3.156 0.887 5.003 Na
0.409 1.829 1.959 Na
2.822 4.091 3.404 Na
2.023 0.000 -0.422 Mg
```

Entry 20:
A plane-wave DFT calculation with PBE was carried out for a relaxed NaMg2Ga crystal.

Summary:
**DFT total energy**: -1.833 eV per atom
**SG**: R-3m
**E_form**: 0.051 eV/atom
**Total magnetization**: 0.00 μB/cell

Cell and atoms, written as POSCAR:
```
NaMg2Ga
1.0
3.189 0.000 0.000
1.594 2.762 0.000
1.594 0.921 10.870
Mg Ga Na
2 1 1
Cartesian
4.783 2.762 3.145 Mg
1.594 0.921 7.724 Mg
3.189 1.841 5.435 Ga
0.000 0.000 0.000 Na
```

Entry 21:
A plane-wave DFT calculation with PBE was carried out for a relaxed NaMg2Ga2 crystal.

Summary:
**DFT total energy**: -2.213 eV per atom
**SG**: P4/mbm
**E_form**: -0.100 eV/atom
**Total magnetization**: 0.00 μB/cell

Cell and atoms, written as POSCAR:
```
NaMg2Ga2
1.0
8.492 0.000 0.000
0.000 8.492 0.000
0.000 0.000 2.991
Na Ga Mg
2 4 4
Cartesian
4.246 4.246 0.000 Na
0.000 0.000 0.000 Na
7.085 2.839 1.496 Ga
5.653 7.085 1.496 Ga
2.839 1.407 1.496 Ga
1.407 5.653 1.496 Ga
3.143 7.389 0.000 Mg
1.103 3.143 0.000 Mg
5.349 1.103 0.000 Mg
7.389 5.349 0.000 Mg
```